(1)
GGA-PBEsol Sr3B6H2O13, optimized geometry; total magnetic moment = 0.00 μB/cell; space group = P-1 (2); VASP energy = -7.67 eV per atom
1.0
6.6196 0.0000 0.0000
-0.3930 6.6293 0.0000
-0.8680 -0.2606 11.3196
Sr B H O
6 12 4 26
Direct
0.0709 0.3790 0.2657 Sr
0.3230 0.2391 0.9731 Sr
0.3759 0.7266 0.4780 Sr
0.6241 0.2734 0.5220 Sr
0.6770 0.7609 0.0269 Sr
0.9291 0.6210 0.7343 Sr
0.0519 0.8533 0.2766 B
0.1153 0.7784 0.0643 B
0.1785 0.2372 0.5591 B
0.2652 0.9646 0.7017 B
0.3804 0.9801 0.2012 B
0.4577 0.6572 0.7731 B
0.5423 0.3428 0.2269 B
0.6196 0.0199 0.7988 B
0.7348 0.0354 0.2983 B
0.8215 0.7628 0.4409 B
0.8847 0.2216 0.9357 B
0.9481 0.1467 0.7234 B
0.2445 0.6563 0.9062 H
0.4835 0.3482 0.7469 H
0.5165 0.6518 0.2531 H
0.7555 0.3437 0.0938 H
0.0088 0.7281 0.1632 O
0.0133 0.2771 0.6250 O
0.0360 0.7198 0.9557 O
0.0583 0.9686 0.7312 O
0.2449 0.3639 0.4770 O
0.2686 0.8969 0.2957 O
0.2851 0.0623 0.5828 O
0.2997 0.8929 0.0817 O
0.3090 0.7490 0.6912 O
0.3668 0.2011 0.1950 O
0.3703 0.5862 0.8839 O
0.4082 0.0753 0.7877 O
0.4616 0.5223 0.2835 O
0.5384 0.4777 0.7165 O
0.5918 0.9247 0.2123 O
0.6297 0.4138 0.1161 O
0.6332 0.7989 0.8050 O
0.6910 0.2510 0.3088 O
0.7003 0.1071 0.9183 O
0.7149 0.9377 0.4172 O
0.7314 0.1031 0.7044 O
0.7551 0.6361 0.5230 O
0.9417 0.0314 0.2688 O
0.9640 0.2802 0.0443 O
0.9867 0.7229 0.3750 O
0.9912 0.2719 0.8368 O

=====

(2)
GGA-PBEsol TiSi6Mo2, optimized geometry; formation energy from raw total energies = -0.61 eV/atom; total magnetic moment = 0.00 μB/cell; space group = C222 (21)
1.0
2.3283 -4.0122 0.0000
2.3283 4.0122 0.0000
0.0000 0.0000 6.4443
Ti Si Mo
1 6 2
Direct
0.0000 0.0000 0.0000 Ti
0.1735 0.3380 0.3315 Si
0.3380 0.1735 0.6685 Si
0.3418 0.6582 0.0000 Si
0.6582 0.3418 0.0000 Si
0.6620 0.8265 0.6685 Si
0.8265 0.6620 0.3315 Si
0.0000 0.5000 0.6673 Mo
0.5000 0.0000 0.3327 Mo

=====

(3)
GGA-PBEsol ZnCr2Ni, optimized geometry; total magnetic moment = 0.00 μB/cell; space group = P4/mmm (123); ΔH_f (0 K) = 123 meV/atom
1.0
3.3569 0.0000 0.0000
0.0000 3.3569 0.0000
0.0000 0.0000 4.0103
Zn Cr Ni
1 2 1
Direct
0.0000 0.0000 0.0000 Zn
0.0000 0.5000 0.5000 Cr
0.5000 0.0000 0.5000 Cr
0.5000 0.5000 0.0000 Ni

=====

(4)
GGA-PBEsol NbTcW3, optimized geometry; total magnetic moment = 0.63 μB/cell; space group = Pm-3m (221); ΔH_f (0 K) = 2671 meV/atom
1.0
4.6345 0.0000 0.0000
0.0000 4.6345 0.0000
0.0000 0.0000 4.6345
Nb Tc W
1 1 3
Direct
0.0000 0.0000 0.0000 Nb
0.5000 0.5000 0.5000 Tc
0.0000 0.0000 0.5000 W
0.0000 0.5000 0.0000 W
0.5000 0.0000 0.0000 W

=====

(5)
GGA-PBEsol Na15Sn4, optimized geometry; total magnetic moment = 0.00 μB/cell; space group = I-43d (220); ΔH_f (0 K) = -159 meV/atom
1.0
-6.4906 6.4906 6.4906
6.4906 -6.4906 6.4906
6.4906 6.4906 -6.4906
Na Sn
30 8
Direct
0.0311 0.6151 0.3389 Na
0.0840 0.3078 0.9689 Na
0.1151 0.5311 0.8389 Na
0.1250 0.8750 0.2500 Na
0.1611 0.7762 0.6922 Na
0.1922 0.2762 0.6611 Na
0.2238 0.4160 0.3849 Na
0.2500 0.1250 0.8750 Na
0.2762 0.6611 0.1922 Na
0.3078 0.9689 0.0840 Na
0.3389 0.0311 0.6151 Na
0.3750 0.6250 0.7500 Na
0.3849 0.2238 0.4160 Na
0.4160 0.3849 0.2238 Na
0.4689 0.8078 0.5840 Na
0.5311 0.8389 0.1151 Na
0.5840 0.4689 0.8078 Na
0.6151 0.3389 0.0311 Na
0.6250 0.7500 0.3750 Na
0.6611 0.1922 0.2762 Na
0.6922 0.1611 0.7762 Na
0.7238 0.8849 0.9160 Na
0.7500 0.3750 0.6250 Na
0.7762 0.6922 0.1611 Na
0.8078 0.5840 0.4689 Na
0.8389 0.1151 0.5311 Na
0.8750 0.2500 0.1250 Na
0.8849 0.9160 0.7238 Na
0.9160 0.7238 0.8849 Na
0.9689 0.0840 0.3078 Na
0.0000 0.4169 0.5000 Sn
0.0000 0.9169 0.5000 Sn
0.0831 0.0831 0.0831 Sn
0.4169 0.5000 0.0000 Sn
0.5000 0.0000 0.4169 Sn
0.5000 0.0000 0.9169 Sn
0.5831 0.5831 0.5831 Sn
0.9169 0.5000 0.0000 Sn

=====

(6)
GGA-PBEsol Be2TcP, optimized geometry; total magnetic moment = 0.60 μB/cell; space group = I4/mmm (139); ΔH_f (0 K) = -156 meV/atom
1.0
3.3672 0.0000 0.0000
0.0000 3.3672 0.0000
0.0000 0.0000 7.4892
Be Tc P
4 2 2
Direct
0.0000 0.5000 0.2500 Be
0.0000 0.5000 0.7500 Be
0.5000 0.0000 0.2500 Be
0.5000 0.0000 0.7500 Be
0.0000 0.0000 0.0000 Tc
0.5000 0.5000 0.5000 Tc
0.0000 0.0000 0.5000 P
0.5000 0.5000 0.0000 P

=====

> Which value of total magnetic moment does entry 1 give?

0.00 μB/cell

=====

Please write out number 6 again, unchanged.
GGA-PBEsol Be2TcP, optimized geometry; total magnetic moment = 0.60 μB/cell; space group = I4/mmm (139); ΔH_f (0 K) = -156 meV/atom
1.0
3.3672 0.0000 0.0000
0.0000 3.3672 0.0000
0.0000 0.0000 7.4892
Be Tc P
4 2 2
Direct
0.0000 0.5000 0.2500 Be
0.0000 0.5000 0.7500 Be
0.5000 0.0000 0.2500 Be
0.5000 0.0000 0.7500 Be
0.0000 0.0000 0.0000 Tc
0.5000 0.5000 0.5000 Tc
0.0000 0.0000 0.5000 P
0.5000 0.5000 0.0000 P